{
  "formula": "Dy2HoEr2",
  "functional": "PBE",
  "state": "relaxed",
  "lattice": [[9.194, 0.000, 0.000], [0.000, 9.194, 0.000], [0.000, 0.000, 3.687]],
  "species": ["Dy", "Dy", "Dy", "Dy", "Ho", "Ho", "Er", "Er", "Er", "Er"],
  "fractional_positions": [[0.128, 0.372, 0.000], [0.372, 0.872, 0.000], [0.628, 0.128, 0.000], [0.872, 0.628, 0.000], [0.000, 0.000, 0.000], [0.500, 0.500, 0.000], [0.171, 0.671, 0.500], [0.329, 0.171, 0.500], [0.671, 0.829, 0.500], [0.829, 0.329, 0.500]],
  "m_tot_mub_per_fu": 0.0,
  "de_polymorph_kj_per_mol_atoms": 6.96
}



{
  "formula": "DyHo2Er5",
  "functional": "PBE",
  "state": "relaxed",
  "lattice": [[7.011, 0.000, 0.000], [0.000, 14.021, 0.000], [0.000, 0.000, 4.954]],
  "species": ["Dy", "Dy", "Ho", "Ho", "Ho", "Ho", "Er", "Er", "Er", "Er", "Er", "Er", "Er", "Er", "Er", "Er"],
  "fractional_positions": [[0.000, 0.000, 0.000], [0.500, 0.500, 0.000], [0.250, 0.125, 0.500], [0.250, 0.625, 0.500], [0.750, 0.375, 0.500], [0.750, 0.875, 0.500], [0.000, 0.500, 0.000], [0.001, 0.750, 0.000], [0.250, 0.375, 0.500], [0.250, 0.875, 0.500], [0.499, 0.250, 0.000], [0.500, 0.000, 0.000], [0.501, 0.750, 0.000], [0.750, 0.125, 0.500], [0.750, 0.625, 0.500], [0.999, 0.250, 0.000]],
  "m_tot_mub_per_fu": 0.0
}



{
  "formula": "Dy2HoEr",
  "functional": "PBE",
  "state": "relaxed",
  "lattice": [[6.493, 0.000, 0.000], [0.000, 12.979, 0.000], [-2.737, 0.000, 5.894]],
  "species": ["Dy", "Dy", "Dy", "Dy", "Dy", "Dy", "Dy", "Dy", "Ho", "Ho", "Ho", "Ho", "Er", "Er", "Er", "Er"],
  "fractional_positions": [[0.125, 0.064, 0.375], [0.125, 0.436, 0.875], [0.375, 0.565, 0.625], [0.375, 0.935, 0.125], [0.625, 0.065, 0.875], [0.625, 0.435, 0.375], [0.875, 0.564, 0.125], [0.875, 0.936, 0.625], [0.125, 0.175, 0.875], [0.125, 0.325, 0.375], [0.875, 0.675, 0.625], [0.875, 0.825, 0.125], [0.375, 0.674, 0.125], [0.375, 0.826, 0.625], [0.625, 0.174, 0.375], [0.625, 0.326, 0.875]],
  "m_tot_mub_per_fu": 0.0,
  "de_polymorph_kj_per_mol_atoms": 3.59
}



{
  "formula": "DyHo7Er12",
  "functional": "PBE",
  "state": "relaxed",
  "lattice": [[6.329, 3.654, 4.491], [-6.329, 3.654, 4.491], [0.000, -7.308, 4.491]],
  "species": ["Dy", "Ho", "Ho", "Ho", "Ho", "Ho", "Ho", "Ho", "Er", "Er", "Er", "Er", "Er", "Er", "Er", "Er", "Er", "Er", "Er", "Er"],
  "fractional_positions": [[0.000, 0.000, 0.000], [0.021, 0.084, 0.353], [0.084, 0.353, 0.021], [0.353, 0.021, 0.084], [0.500, 0.500, 0.500], [0.647, 0.979, 0.916], [0.916, 0.647, 0.979], [0.979, 0.916, 0.647], [0.148, 0.417, 0.480], [0.186, 0.750, 0.314], [0.250, 0.686, 0.814], [0.314, 0.186, 0.750], [0.417, 0.480, 0.148], [0.480, 0.148, 0.417], [0.520, 0.852, 0.583], [0.583, 0.520, 0.852], [0.686, 0.814, 0.250], [0.750, 0.314, 0.186], [0.814, 0.250, 0.686], [0.852, 0.583, 0.520]],
  "m_tot_mub_per_fu": 0.0,
  "de_polymorph_kj_per_mol_atoms": 0.00
}



| no. | E_tot (eV/atom) | Fermi-level density of states (states/eV per cell) |
| --- | --- | --- |
| 1 | -4.489 | 8.1 |
| 2 | -4.553 | 18.1 |
| 3 | -4.540 | 28.5 |
| 4 | -4.261 | 17.7 |